# 1
# K2Sc2AlTe6, relaxed, DFT PBE
# SG = No. 12
# E_form (uncorrected) = -954.5 meV/atom
data_K2Sc2AlTe6
_chemical_formula_sum 'K2 Sc2 Al1 Te6'
_symmetry_space_group_name_H-M 'P 1'
_symmetry_Int_Tables_number 1
_cell_length_a 7.1248
_cell_length_b 7.1248
_cell_length_c 8.9538
_cell_angle_alpha 97.91
_cell_angle_beta 97.91
_cell_angle_gamma 120.16
loop_
_symmetry_equiv_pos_as_xyz
'x,y,z'
loop_
_atom_site_label
_atom_site_fract_x
_atom_site_fract_y
_atom_site_fract_z
Sc1 0.6690 0.3310 0.5000
Te1 0.3926 0.0715 0.6954
Sc2 0.3310 0.6690 0.5000
Te2 0.9285 0.6074 0.3046
Al1 0.0000 0.0000 0.5000
Te3 0.6074 0.9285 0.3046
Te4 0.2562 0.2562 0.3089
K1 0.1691 0.8309 0.0000
K2 0.8309 0.1691 0.0000
Te5 0.0715 0.3926 0.6954
Te6 0.7438 0.7438 0.6911

# 2
# Zr2AgSe, relaxed, DFT PBE
# SG = No. 25
# E_form (uncorrected) = -442.0 meV/atom
data_Zr2AgSe
_chemical_formula_sum 'Zr2 Ag1 Se1'
_symmetry_space_group_name_H-M 'P 1'
_symmetry_Int_Tables_number 1
_cell_length_a 3.6959
_cell_length_b 3.9103
_cell_length_c 5.7930
_cell_angle_alpha 90.00
_cell_angle_beta 90.00
_cell_angle_gamma 90.00
loop_
_symmetry_equiv_pos_as_xyz
'x,y,z'
loop_
_atom_site_label
_atom_site_fract_x
_atom_site_fract_y
_atom_site_fract_z
Zr1 0.0000 0.0000 0.9463
Ag1 0.0000 0.0000 0.4583
Zr2 0.5000 0.5000 0.2948
Se1 0.5000 0.5000 0.8005

# 3
# SmDySiPd, relaxed, DFT PBE
# SG = No. 216
# E_form (uncorrected) = -688.0 meV/atom
data_SmDySiPd
_chemical_formula_sum 'Sm1 Dy1 Si1 Pd1'
_symmetry_space_group_name_H-M 'P 1'
_symmetry_Int_Tables_number 1
_cell_length_a 5.0351
_cell_length_b 5.0351
_cell_length_c 5.0351
_cell_angle_alpha 60.00
_cell_angle_beta 60.00
_cell_angle_gamma 60.00
loop_
_symmetry_equiv_pos_as_xyz
'x,y,z'
loop_
_atom_site_label
_atom_site_fract_x
_atom_site_fract_y
_atom_site_fract_z
Si1 0.7500 0.7500 0.7500
Dy1 0.0000 0.0000 0.0000
Pd1 0.2500 0.2500 0.2500
Sm1 0.5000 0.5000 0.5000

# 4
# Hf2Ga3, relaxed, DFT PBE
# SG = No. 60
# E = -0.452 Ry per atom
data_Hf2Ga3
_chemical_formula_sum 'Hf8 Ga12'
_symmetry_space_group_name_H-M 'P 1'
_symmetry_Int_Tables_number 1
_cell_length_a 5.6805
_cell_length_b 7.1172
_cell_length_c 8.9071
_cell_angle_alpha 90.00
_cell_angle_beta 90.00
_cell_angle_gamma 90.00
loop_
_symmetry_equiv_pos_as_xyz
'x,y,z'
loop_
_atom_site_label
_atom_site_fract_x
_atom_site_fract_y
_atom_site_fract_z
Ga1 0.0000 0.1478 0.2500
Hf1 0.8807 0.8192 0.0851
Hf2 0.1193 0.8192 0.4149
Ga2 0.5000 0.6478 0.2500
Hf3 0.3807 0.6808 0.9149
Ga3 0.6412 0.0229 0.8631
Ga4 0.3588 0.9771 0.1369
Ga5 0.8588 0.4771 0.3631
Ga6 0.0000 0.8522 0.7500
Hf4 0.1193 0.1808 0.9149
Hf5 0.8807 0.1808 0.5851
Ga7 0.1412 0.4771 0.1369
Hf6 0.6193 0.6808 0.5851
Ga8 0.3588 0.0229 0.6369
Ga9 0.6412 0.9771 0.3631
Ga10 0.1412 0.5229 0.6369
Ga11 0.8588 0.5229 0.8631
Ga12 0.5000 0.3522 0.7500
Hf7 0.6193 0.3192 0.0851
Hf8 0.3807 0.3192 0.4149